No. 1
Below is an optimized crystal structure of AcTmAg2Te4, with properties calculated at the GGA-PBE level.

Structure (CIF):
```
data_AcTmAg2Te4
_chemical_formula_sum 'Ac1 Tm1 Ag2 Te4'
_cell_length_a 7.593
_cell_length_b 7.012
_cell_length_c 7.012
_cell_angle_alpha 69.36
_cell_angle_beta 57.22
_cell_angle_gamma 57.22
_space_group_name_H-M_alt 'P 1'
_space_group_IT_number 1
loop_
_space_group_symop_operation_xyz
'x,y,z'
loop_
_atom_site_label
_atom_site_type_symbol
_atom_site_fract_x
_atom_site_fract_y
_atom_site_fract_z
_atom_site_occupancy
Ac1 Ac 0.000 0.000 0.000 1
Tm1 Tm 0.500 0.500 0.500 1
Ag1 Ag 0.164 0.336 0.336 1
Ag2 Ag 0.836 0.664 0.664 1
Te1 Te 0.470 0.091 0.525 1
Te2 Te 0.086 0.909 0.475 1
Te3 Te 0.914 0.525 0.091 1
Te4 Te 0.530 0.475 0.909 1
```

## Properties
* formation energy without anion corrections: -0.8098 eV/atom
* total magnetization: 0.00 μB/f.u.
* V: 262.9 Å³ per cell
* density: 7.09 Mg/m³
* Fermi-level density of states: 0.54 states/eV/f.u.

---

No. 2
Below is an optimized crystal structure of Ac2UAgTe5, with properties calculated at the GGA-PBE level.

Structure (CIF):
```
data_Ac2UAgTe5
_chemical_formula_sum 'Ac4 U2 Ag2 Te10'
_cell_length_a 4.548
_cell_length_b 10.008
_cell_length_c 13.622
_cell_angle_alpha 90.00
_cell_angle_beta 90.00
_cell_angle_gamma 103.13
_space_group_name_H-M_alt 'P 1'
_space_group_IT_number 1
loop_
_space_group_symop_operation_xyz
'x,y,z'
loop_
_atom_site_label
_atom_site_type_symbol
_atom_site_fract_x
_atom_site_fract_y
_atom_site_fract_z
_atom_site_occupancy
Ac1 Ac 0.875 0.750 0.809 1
Ac2 Ac 0.113 0.226 0.689 1
Ac3 Ac 0.125 0.250 0.309 1
Ac4 Ac 0.887 0.774 0.189 1
U1 U 0.807 0.614 0.511 1
U2 U 0.193 0.386 0.011 1
Ag1 Ag 0.566 0.132 0.955 1
Ag2 Ag 0.434 0.868 0.455 1
Te1 Te 0.356 0.712 0.003 1
Te2 Te 0.694 0.389 0.848 1
Te3 Te 0.498 0.997 0.774 1
Te4 Te 0.289 0.579 0.668 1
Te5 Te 0.956 0.912 0.568 1
Te6 Te 0.644 0.288 0.503 1
Te7 Te 0.306 0.611 0.348 1
Te8 Te 0.502 0.003 0.274 1
Te9 Te 0.711 0.421 0.168 1
Te10 Te 0.044 0.088 0.068 1
```

## Properties
* formation energy without anion corrections: -1.0636 eV/atom
* total magnetization: 2.90 μB/f.u.
* V: 603.8 Å³ per cell
* density: 7.91 Mg/m³
* Fermi-level density of states: 7.25 states/eV/f.u.

---

No. 3
Below is an optimized crystal structure of Ac2YAgTe5, with properties calculated at the GGA-PBE level.

Structure (CIF):
```
data_Ac2YAgTe5
_chemical_formula_sum 'Ac4 Y2 Ag2 Te10'
_cell_length_a 4.549
_cell_length_b 10.011
_cell_length_c 13.541
_cell_angle_alpha 90.00
_cell_angle_beta 90.00
_cell_angle_gamma 103.13
_space_group_name_H-M_alt 'P 1'
_space_group_IT_number 1
loop_
_space_group_symop_operation_xyz
'x,y,z'
loop_
_atom_site_label
_atom_site_type_symbol
_atom_site_fract_x
_atom_site_fract_y
_atom_site_fract_z
_atom_site_occupancy
Ac1 Ac 0.875 0.750 0.808 1
Ac2 Ac 0.112 0.223 0.688 1
Ac3 Ac 0.125 0.250 0.308 1
Ac4 Ac 0.888 0.777 0.188 1
Y1 Y 0.808 0.616 0.510 1
Y2 Y 0.192 0.384 0.010 1
Ag1 Ag 0.568 0.137 0.957 1
Ag2 Ag 0.432 0.863 0.457 1
Te1 Te 0.354 0.708 0.001 1
Te2 Te 0.695 0.391 0.848 1
Te3 Te 0.499 0.998 0.777 1
Te4 Te 0.288 0.575 0.665 1
Te5 Te 0.955 0.910 0.569 1
Te6 Te 0.646 0.292 0.501 1
Te7 Te 0.305 0.609 0.348 1
Te8 Te 0.501 0.002 0.277 1
Te9 Te 0.712 0.425 0.165 1
Te10 Te 0.045 0.090 0.069 1
```

## Properties
* formation energy without anion corrections: -1.3161 eV/atom
* total magnetization: 0.00 μB/f.u.
* V: 600.4 Å³ per cell
* density: 7.13 Mg/m³

---

No. 4
Below is an optimized crystal structure of AcThAg2, with properties calculated at the GGA-PBE level.

Structure (CIF):
```
data_AcThAg2
_chemical_formula_sum 'Ac1 Th1 Ag2'
_cell_length_a 5.441
_cell_length_b 5.441
_cell_length_c 5.441
_cell_angle_alpha 60.00
_cell_angle_beta 60.00
_cell_angle_gamma 60.00
_space_group_name_H-M_alt 'P 1'
_space_group_IT_number 1
loop_
_space_group_symop_operation_xyz
'x,y,z'
loop_
_atom_site_label
_atom_site_type_symbol
_atom_site_fract_x
_atom_site_fract_y
_atom_site_fract_z
_atom_site_occupancy
Ac1 Ac 0.500 0.500 0.500 1
Ag1 Ag 0.250 0.250 0.250 1
Ag2 Ag 0.750 0.750 0.750 1
Th1 Th 0.000 0.000 0.000 1
```

## Properties
* total magnetization: 0.64 μB/f.u.
* V: 113.9 Å³ per cell
* density: 9.84 Mg/m³
* Fermi-level density of states: 3.59 states/eV/f.u.
* excess energy over the best structure of this formula in the dataset: 0.038 eV per atom